1.
Below is a relaxed PaRe crystal, with properties calculated at the GGA-PBE level.

Computed properties:
theoretical density = 15.57 g/cm3
calculated total energy = -21.2 eV for the cell shown
DFT formation energy = 0.3484 eV per atom

Cell: 3.978 3.978 3.978 Å, 60.00 60.00 60.00°
Fractional positions:
Pa 0.000 0.000 0.000
Re 0.500 0.500 0.500

2.
Below is a relaxed PaRe2 crystal, with properties calculated at the GGA-PBE level.

Computed properties:
theoretical density = 4.70 g/cm3
calculated total energy = -46.2 eV for the cell shown
DFT formation energy = 3.7521 eV per atom

Cell: 8.447 8.447 8.447 Å, 60.00 60.00 60.00°
Site moments in Bohr magnetons follow the coordinates.
Fractional positions:
Re 0.375 0.375 0.375  2.18
Re 0.375 0.375 0.875  2.22
Re 0.875 0.375 0.375  1.98
Pa 0.500 0.500 0.500  -0.19
Pa 0.250 0.250 0.250  -0.19
Re 0.375 0.875 0.375  2.18

3.
Below is a relaxed PaRe crystal, with properties calculated at the GGA-PBE level.

Computed properties:
theoretical density = 12.44 g/cm3
calculated total energy = -19.5 eV for the cell shown
DFT formation energy = 1.1922 eV per atom

Cell: 4.287 4.287 4.287 Å, 60.00 60.00 60.00°
Fractional positions:
Pa 0.000 0.000 0.000
Re 0.250 0.250 0.250

4.
Below is a relaxed Pa2Re crystal, with properties calculated at the GGA-PBE level.

Computed properties:
theoretical density = 5.12 g/cm3
calculated total energy = -50.9 eV for the cell shown
DFT formation energy = 1.9952 eV per atom

Cell: 8.407 8.407 8.407 Å, 60.00 60.00 60.00°
Site moments in Bohr magnetons follow the coordinates.
Fractional positions:
Pa 0.375 0.375 0.875  0.82
Re 0.250 0.250 0.250  -0.07
Pa 0.875 0.375 0.375  0.90
Re 0.500 0.500 0.500  -0.07
Pa 0.375 0.875 0.375  0.87
Pa 0.375 0.375 0.375  0.87

5.
Below is a relaxed PaReSb crystal, with properties calculated at the GGA-PBE level.

Computed properties:
theoretical density = 12.37 g/cm3
calculated total energy = -26.0 eV for the cell shown

Cell: 4.678 4.678 4.678 Å, 60.00 60.00 60.00°
Site moments in Bohr magnetons follow the coordinates.
Fractional positions:
Pa 0.000 0.000 0.000  0.25
Re 0.250 0.250 0.250  0.25
Sb 0.500 0.500 0.500  0.02

6.
Below is a relaxed ScPaRe crystal, with properties calculated at the GGA-PBE level.

Computed properties:
theoretical density = 10.86 g/cm3
calculated total energy = -27.9 eV for the cell shown
DFT formation energy = 0.1094 eV per atom

Cell: 4.641 4.641 4.641 Å, 60.00 60.00 60.00°
Site moments in Bohr magnetons follow the coordinates.
Fractional positions:
Pa 0.750 0.750 0.750  0.13
Sc 0.250 0.250 0.250  0.03
Re 0.000 0.000 0.000  -0.01

7.
Below is a relaxed ScPaRe crystal, with properties calculated at the GGA-PBE level.

Computed properties:
theoretical density = 11.23 g/cm3
calculated total energy = -25.6 eV for the cell shown
DFT formation energy = 0.8703 eV per atom

Cell: 4.589 4.589 4.589 Å, 60.00 60.00 60.00°
Fractional positions:
Sc 0.750 0.750 0.750
Pa 0.000 0.000 0.000
Re 0.250 0.250 0.250

8.
Below is a relaxed SmPaRe crystal, with properties calculated at the GGA-PBE level.

Computed properties:
theoretical density = 11.92 g/cm3
calculated total energy = -25.6 eV for the cell shown
DFT formation energy = 0.3288 eV per atom

Cell: 4.817 4.817 4.817 Å, 60.00 60.00 60.00°
Site moments in Bohr magnetons follow the coordinates.
Fractional positions:
Re 0.000 0.000 0.000  -0.02
Sm 0.250 0.250 0.250  0.02
Pa 0.750 0.750 0.750  0.13